(1)
The following is a DFT calculation (PBE) of an optimized crystal structure of Tb4B3C5.

## Properties
**DFT total energy**: -169.10 eV/cell
**V**: 13.2 Å³ per atom
**DFT formation energy**: 0.010 eV per atom

Geometry as CIF:
```
data_Tb4B3C5
_chemical_formula_sum 'Tb8 B6 C10'
_space_group_name_H-M_alt 'C 1 2/m 1'
_space_group_IT_number 12
_cell_length_a 10.402
_cell_length_b 3.662
_cell_length_c 8.883
_cell_angle_alpha 90.00
_cell_angle_beta 110.97
_cell_angle_gamma 90.00
loop_
_space_group_symop_operation_xyz
'x,y,z'
'-x,-y,-z'
'-x,y,-z'
'x,-y,z'
'x+1/2,y+1/2,z'
'-x+1/2,-y+1/2,-z'
'-x+1/2,y+1/2,-z'
'x+1/2,-y+1/2,z'
loop_
_atom_site_label
_atom_site_type_symbol
_atom_site_fract_x
_atom_site_fract_y
_atom_site_fract_z
Tb1 Tb 0.107 0.000 0.393
Tb2 Tb 0.245 0.500 0.162
B1 B 0.000 0.000 0.000
B2 B 0.051 0.500 0.862
C1 C 0.000 0.500 0.000
C2 C 0.080 0.500 0.712
C3 C 0.169 0.500 0.625
```

(2)
The following is a DFT calculation (PBE) of an optimized crystal structure of BiTe2Se.

## Properties
**DFT total energy**: -37.84 eV/cell
**E above lowest polymorph**: 157.9 meV/atom
**V**: 29.5 Å³ per atom
**Formation energy without anion corrections**: 5.960 kcal/mol of atoms

Geometry as CIF:
```
data_BiTe2Se
_chemical_formula_sum 'Bi3 Te6 Se3'
_space_group_name_H-M_alt 'R -3 m'
_space_group_IT_number 166
_space_group_name_Hall '-R 3 2"'
_cell_length_a 3.5837
_cell_length_b 3.5837
_cell_length_c 31.8585
_cell_angle_alpha 90.00
_cell_angle_beta 90.00
_cell_angle_gamma 120.00
loop_
_atom_site_label
_atom_site_type_symbol
_atom_site_fract_x
_atom_site_fract_y
_atom_site_fract_z
Bi1 Bi 0.0000 0.0000 0.0000
Te1 Te 0.0000 0.0000 0.0991
Se1 Se 0.0000 0.0000 0.5000
```

(3)
The following is a DFT calculation (PBE) of an optimized crystal structure of NdHoTl2.

## Properties
**DFT total energy**: -61.97 eV/cell
**V**: 28.5 Å³ per atom
**DFT formation energy**: -0.353 eV per atom

Geometry as CIF:
```
data_NdHoTl2
_chemical_formula_sum 'Nd4 Ho4 Tl8'
_space_group_name_H-M_alt 'F m -3 m'
_space_group_IT_number 225
_space_group_name_Hall '-F 4 2 3'
_cell_length_a 7.693
_cell_length_b 7.693
_cell_length_c 7.693
_cell_angle_alpha 90.00
_cell_angle_beta 90.00
_cell_angle_gamma 90.00
loop_
_atom_site_label
_atom_site_type_symbol
_atom_site_fract_x
_atom_site_fract_y
_atom_site_fract_z
Nd1 Nd 0.000 0.000 0.000
Ho1 Ho 0.000 0.000 0.500
Tl1 Tl 0.250 0.250 0.250
```

(4)
The following is a DFT calculation (PBE) of an optimized crystal structure of LaSi2Te.

## Properties
**DFT total energy**: -40.66 eV/cell
**V**: 23.9 Å³ per atom
**Formation energy without anion corrections**: -8.156 kcal/mol of atoms

Geometry as CIF:
```
data_LaSi2Te
_chemical_formula_sum 'La2 Si4 Te2'
_space_group_name_H-M_alt 'I m m 2'
_space_group_IT_number 44
_cell_length_a 3.835
_cell_length_b 5.369
_cell_length_c 9.302
_cell_angle_alpha 90.00
_cell_angle_beta 90.00
_cell_angle_gamma 90.00
loop_
_space_group_symop_operation_xyz
'x,y,z'
'-x,-y,z'
'-x,y,z'
'x,-y,z'
'x+1/2,y+1/2,z+1/2'
'-x+1/2,-y+1/2,z+1/2'
'-x+1/2,y+1/2,z+1/2'
'x+1/2,-y+1/2,z+1/2'
loop_
_atom_site_label
_atom_site_type_symbol
_atom_site_fract_x
_atom_site_fract_y
_atom_site_fract_z
La1 La 0.000 0.000 0.000
Si1 Si 0.000 0.000 0.425
Si2 Si 0.000 0.500 0.764
Te1 Te 0.000 0.500 0.205
```

(5)
The following is a DFT calculation (PBE) of an optimized crystal structure of CrFe2Cu.

## Properties
**DFT total energy**: -118.90 eV/cell
**V**: 12.1 Å³ per atom
**DFT formation energy**: 0.230 eV per atom

Geometry as CIF:
```
data_CrFe2Cu
_chemical_formula_sum 'Cr4 Fe8 Cu4'
_space_group_name_H-M_alt 'F -4 3 m'
_space_group_IT_number 216
_space_group_name_Hall 'F -4 2 3'
_cell_length_a 5.784
_cell_length_b 5.784
_cell_length_c 5.784
_cell_angle_alpha 90.00
_cell_angle_beta 90.00
_cell_angle_gamma 90.00
loop_
_atom_site_label
_atom_site_type_symbol
_atom_site_fract_x
_atom_site_fract_y
_atom_site_fract_z
Cr1 Cr 0.000 0.000 0.000
Fe1 Fe 0.000 0.000 0.500
Fe2 Fe 0.250 0.250 0.250
Cu1 Cu 0.250 0.250 0.750
```

(6)
The following is a DFT calculation (PBE) of an optimized crystal structure of Tm5Ag2Sn2.

## Properties
**DFT total energy**: -159.09 eV/cell
**V**: 26.6 Å³ per atom
**DFT formation energy**: -0.412 eV per atom

Geometry as CIF:
```
data_Tm5Ag2Sn2
_chemical_formula_sum 'Tm20 Ag8 Sn8'
_space_group_name_H-M_alt 'C m c e'
_space_group_IT_number 64
_space_group_name_Hall '-C 2ac 2'
_cell_length_a 15.150
_cell_length_b 8.216
_cell_length_c 7.684
_cell_angle_alpha 90.00
_cell_angle_beta 90.00
_cell_angle_gamma 90.00
loop_
_atom_site_label
_atom_site_type_symbol
_atom_site_fract_x
_atom_site_fract_y
_atom_site_fract_z
Tm1 Tm 0.000 0.000 0.000
Tm2 Tm 0.132 0.175 0.336
Ag1 Ag 0.000 0.126 0.629
Sn1 Sn 0.207 0.000 0.000
```